Entry 1:
This record from Alexandria via LeMat-Bulk describes RbLa3S after structural relaxation. The functional is PBE.

Computed properties:
final energy	-14.71	eV/cell
raw formation energy	1.03	eV/atom

Unit cell a=5.6316 b=5.6316 c=5.6316 alpha=90.00 beta=90.00 gamma=90.00
Space group Pm-3m (No. 221)
One atom of each set of equivalent atoms:
Rb  0.0000  0.0000  0.0000 (multiplicity 1)
La  0.0000  0.0000  0.5000 (multiplicity 3)
S  0.5000  0.5000  0.5000 (multiplicity 1)

Entry 2:
This record from Alexandria via LeMat-Bulk describes Ca2AuSe after structural relaxation. The functional is PBE.

Computed properties:
final energy	-59.62	eV/cell
raw formation energy	-1.03	eV/atom

Unit cell a=7.6960 b=7.6960 c=8.1068 alpha=90.00 beta=90.00 gamma=90.00
Space group I-42d (No. 122)
One atom of each set of equivalent atoms:
Ca  0.2371  0.2500  0.1250 (multiplicity 8)
Au  0.0000  0.0000  0.5000 (multiplicity 4)
Se  0.0000  0.0000  0.0000 (multiplicity 4)

Entry 3:
This record from Alexandria via LeMat-Bulk describes Er2BIr3 after structural relaxation. The functional is PBE.

Computed properties:
final energy	-138.23	eV/cell
energy relative to the elements	-0.6149	eV/atom

Unit cell a=5.4763 b=5.4763 c=11.2161 alpha=90.00 beta=90.00 gamma=120.00
Space group R-3m (No. 166, hexagonal axes)
One atom of each set of equivalent atoms:
Er  0.0000  0.0000  0.1268 (multiplicity 6)
B  0.0000  0.0000  0.5000 (multiplicity 3)
Ir  0.0000  0.5000  0.0000 (multiplicity 9)

Entry 4:
This record from Alexandria via LeMat-Bulk describes MnCdOs after structural relaxation. The functional is PBE.

Computed properties:
final energy	-40.86	eV/cell
energy relative to the elements	0.2946	eV/atom

Unit cell a=2.8243 b=2.8243 c=11.5290 alpha=90.00 beta=90.00 gamma=90.00
Space group I4mm (No. 107)
One atom of each set of equivalent atoms:
Mn  0.0000  0.0000  0.0000 (multiplicity 2)
Cd  0.0000  0.0000  0.6830 (multiplicity 2)
Os  0.0000  0.0000  0.3782 (multiplicity 2)

Entry 5:
This record from Alexandria via LeMat-Bulk describes Np2Sb3Au after structural relaxation. The functional is PBE.

Computed properties:
final energy	-42.03	eV/cell
raw formation energy	-0.08	eV/atom

Unit cell a=3.1254 b=5.6192 c=8.7215 alpha=90.00 beta=90.00 gamma=90.00
Space group Pmm2 (No. 25)
One atom of each set of equivalent atoms:
Np  0.0000  0.0000  0.0000 (multiplicity 1)
Np  0.0000  0.5000  0.3958 (multiplicity 1)
Sb  0.5000  0.0000  0.3247 (multiplicity 1)
Sb  0.5000  0.0000  0.6803 (multiplicity 1)
Sb  0.5000  0.5000  0.0506 (multiplicity 1)
Au  0.5000  0.5000  0.7116 (multiplicity 1)

Entry 6:
This record from Alexandria via LeMat-Bulk describes IrPtRh after structural relaxation. The functional is PBE.

Computed properties:
final energy	-82.15	eV/cell
energy relative to the elements	0.5719	eV/atom

Unit cell a=5.9802 b=5.9802 c=5.9802 alpha=90.00 beta=90.00 gamma=90.00
Space group F-43m (No. 216)
One atom of each set of equivalent atoms:
Ir  0.0000  0.0000  0.0000 (multiplicity 4)
Pt  0.2500  0.2500  0.2500 (multiplicity 4)
Rh  0.2500  0.2500  0.7500 (multiplicity 4)